No. 1
Compound: GdHoCrRu
Source: the Alexandria database
Functional: PBE
Structure: relaxed

## Properties
* density: 9.390 Mg/m³
* formation energy from the elements: 18.6 meV/atom
* raw total energy: -9.371 eV per atom
* space-group type: No. 216

a = 4.917 Å, b = 4.917 Å, c = 4.917 Å
α = 60.00°, β = 60.00°, γ = 60.00°
Each line ends with the local moment (μB).
Positions (direct):
Ru: 0.750 0.750 0.750  -0.03
Gd: 0.000 0.000 0.000  6.99
Ho: 0.500 0.500 0.500  -0.01
Cr: 0.250 0.250 0.250  3.27

---

No. 2
Compound: NaHfTe2O6
Source: the Alexandria database
Functional: PBE
Structure: relaxed

## Properties
* density: 5.938 Mg/m³
* raw total energy: -6.502 eV per atom
* space-group type: No. 15

a = 5.656 Å, b = 7.855 Å, c = 7.855 Å
α = 66.42°, β = 77.60°, γ = 77.60°
Positions (direct):
Na: 0.250 0.835 0.165
Na: 0.750 0.165 0.835
Hf: 0.250 0.410 0.590
Hf: 0.750 0.590 0.410
Te: 0.254 0.920 0.615
Te: 0.246 0.385 0.080
Te: 0.746 0.080 0.385
Te: 0.754 0.615 0.920
O: 0.161 0.139 0.683
O: 0.339 0.317 0.861
O: 0.839 0.861 0.317
O: 0.661 0.683 0.139
O: 0.385 0.663 0.512
O: 0.115 0.488 0.337
O: 0.615 0.337 0.488
O: 0.885 0.512 0.663
O: 0.888 0.845 0.767
O: 0.612 0.233 0.155
O: 0.112 0.155 0.233
O: 0.388 0.767 0.845

---

No. 3
Compound: PmNdErZn
Source: the Alexandria database
Functional: PBE
Structure: relaxed

## Properties
* density: 7.572 Mg/m³
* polymorph energy (0 for the lowest one): 0.000 eV per atom
* formation energy from the elements: -156.5 meV/atom
* raw total energy: -3.995 eV per atom
* space-group type: No. 99

a = 3.616 Å, b = 3.616 Å, c = 8.753 Å
α = 90.00°, β = 90.00°, γ = 90.00°
Positions (direct):
Pm: 0.500 0.500 0.777
Nd: 0.000 0.000 0.080
Er: 0.500 0.500 0.370
Zn: 0.000 0.000 0.558

---

No. 4
Compound: Y2TlNi
Source: the Alexandria database
Functional: PBE
Structure: relaxed

## Properties
* density: 8.108 Mg/m³
* formation energy from the elements: 71.1 meV/atom
* raw total energy: -5.198 eV per atom
* space-group type: No. 216

a = 5.036 Å, b = 5.036 Å, c = 5.036 Å
α = 60.00°, β = 60.00°, γ = 60.00°
Each line ends with the local moment (μB).
Positions (direct):
Ni: 0.500 0.500 0.500  0.07
Tl: 0.250 0.250 0.250  0.01
Y: 0.000 0.000 0.000  0.25
Y: 0.750 0.750 0.750  0.19

---

No. 5
Compound: SrCeInAu
Source: the Alexandria database
Functional: PBE
Structure: relaxed

## Properties
* density: 7.761 Mg/m³
* formation energy from the elements: -441.6 meV/atom
* raw total energy: -3.850 eV per atom
* space-group type: No. 216

a = 5.465 Å, b = 5.465 Å, c = 5.465 Å
α = 60.00°, β = 60.00°, γ = 60.00°
Each line ends with the local moment (μB).
Positions (direct):
Sr: 0.250 0.250 0.250  -0.01
Au: 0.000 0.000 0.000  -0.01
Ce: 0.750 0.750 0.750  0.76
In: 0.500 0.500 0.500  -0.01

---

No. 6
Compound: Tb3PmDySc
Source: the Alexandria database
Functional: PBE
Structure: relaxed

## Properties
* density: 7.420 Mg/m³
* formation energy from the elements: 35.8 meV/atom
* raw total energy: -4.893 eV per atom
* space-group type: No. 63

a = 4.973 Å, b = 7.873 Å, c = 9.991 Å
α = 90.00°, β = 90.00°, γ = 108.41°
Positions (direct):
Tb: 0.668 0.335 0.499
Tb: 0.332 0.665 0.501
Tb: 0.332 0.665 0.999
Tb: 0.668 0.335 0.001
Tb: 0.169 0.339 0.750
Tb: 0.831 0.661 0.250
Pm: 0.497 0.995 0.750
Pm: 0.503 0.005 0.250
Dy: 0.000 0.000 0.500
Dy: 0.000 0.000 0.000
Sc: 0.832 0.664 0.750
Sc: 0.168 0.336 0.250

---

No. 7
Compound: Os2RuPb
Source: the Alexandria database
Functional: PBE
Structure: relaxed

## Properties
* density: 11.560 Mg/m³
* formation energy from the elements: 1517.0 meV/atom
* raw total energy: -7.344 eV per atom
* space-group type: No. 122

a = 5.851 Å, b = 5.851 Å, c = 7.108 Å
α = 65.70°, β = 65.70°, γ = 90.00°
Positions (direct):
Pb: 0.000 0.000 0.000
Pb: 0.750 0.250 0.500
Ru: 0.500 0.500 0.000
Ru: 0.250 0.750 0.500
Os: 0.575 0.125 0.250
Os: 0.175 0.625 0.250
Os: 0.375 0.425 0.750
Os: 0.875 0.825 0.750

---

No. 8
Compound: Nd2HoPaS4
Source: the Alexandria database
Functional: PBE
Structure: relaxed

## Properties
* density: 7.589 Mg/m³
* raw total energy: -6.904 eV per atom
* space-group type: No. 10

a = 3.949 Å, b = 6.898 Å, c = 6.905 Å
α = 109.02°, β = 90.00°, γ = 90.00°
Positions (direct):
Nd: 0.500 0.000 0.500
Nd: 0.000 0.500 0.500
Ho: 0.000 0.000 0.000
Pa: 0.500 0.500 0.000
S: 0.500 0.244 0.234
S: 0.500 0.756 0.766
S: 0.000 0.252 0.763
S: 0.000 0.748 0.237